Here is crystalline RbPS2 at its relaxed geometry from Alexandria. Energies are from PBE-GGA.

Results
* total magnetization: 0.000 μB/f.u.
* ΔE_f (raw): -0.6639 eV/atom
* uncorrected energy: -4.322 eV per atom

Lattice parameters (Å, degrees): 6.7392 6.7553 6.8741 79.17 88.25 75.45
Last column: nearest neighbours and their distance in Å.
Space group P-1 (No. 2)
Inequivalent atoms, fractional coordinates:
Rb 0.2436 0.0255 0.2547 x2  6 S 3.43-3.51
P 0.1338 0.4032 0.6943 x2  3 S 2.05-2.23
S 0.2003 0.5105 0.3789 x2  2 P 2.22-2.23
S 0.2267 0.0851 0.7456 x2  1 P 2.05

Here is crystalline Hf2Bi2Te at its relaxed geometry from Alexandria. Energies are from PBE-GGA.

Results
* ΔE to the lowest computed polymorph: 0.00 eV/f.u.
* total magnetization: 0.000 μB/f.u.
* ΔE_f (raw): -0.2038 eV/atom
* uncorrected energy: -6.366 eV per atom

Lattice parameters (Å, degrees): 8.0674 8.0674 3.9474 90.00 90.00 90.00
Last column: nearest neighbours and their distance in Å.
Space group P4/mbm (No. 127)
Inequivalent atoms, fractional coordinates:
Hf 0.1487 0.3513 0.0000 x4  6 Bi 3.06-3.09, 2 Te 3.08, 1 Hf 3.39
Bi 0.1464 0.6464 0.5000 x4  6 Hf 3.06-3.09, 1 Bi 3.34
Te 0.0000 0.0000 0.0000 x2  4 Hf 3.08